a | A crystal of MnTeP relaxed with PBEsol, computed with meta-GGA SCAN.

Output
Magnetization in μB per formula unit: 1.97
Crystal system: cubic
Mass density in Mg/m³: 7.079
SG: No. 216

a b c (Å): 4.138 4.138 4.138
angles (deg): 60.00 60.00 60.00
Fractional positions:
Te (0.500, 0.500, 0.500)
P (0.000, 0.000, 0.000)
Mn (0.250, 0.250, 0.250)


b | A crystal of MnTeP relaxed with PBEsol, computed with meta-GGA SCAN.

Output
Magnetization in μB per formula unit: 4.04
Crystal system: cubic
Mass density in Mg/m³: 5.729
SG: No. 216

a b c (Å): 4.440 4.440 4.440
angles (deg): 60.00 60.00 60.00
Fractional positions:
P (0.250, 0.250, 0.250)
Mn (0.500, 0.500, 0.500)
Te (0.000, 0.000, 0.000)


Which one sits at the bottom of the stability order? b does.


a | A crystal of MnTlP2 relaxed with PBEsol, computed with meta-GGA SCAN.

Output
Magnetization in μB per formula unit: 0.00
Crystal system: tetragonal
Mass density in Mg/m³: 5.815
SG: No. 141

a b c (Å): 5.440 5.440 7.297
angles (deg): 111.89 111.89 90.00
Fractional positions:
P (0.625, 0.375, 0.250)
Tl (0.250, 0.750, 0.500)
P (0.625, 0.875, 0.250)
P (0.125, 0.375, 0.750)
Mn (0.500, 0.500, 0.000)
Tl (0.000, 0.000, 0.000)
Mn (0.750, 0.250, 0.500)
P (0.625, 0.375, 0.750)


b | A crystal of MnTlP2 relaxed with PBEsol, computed with meta-GGA SCAN.

Output
Magnetization in μB per formula unit: 4.13
Crystal system: tetragonal
Mass density in Mg/m³: 7.683
SG: No. 123

a b c (Å): 3.492 4.459 4.459
angles (deg): 90.00 90.00 90.00
Fractional positions:
Mn (0.500, 0.000, 0.000)
Tl (0.500, 0.500, 0.500)
P (0.000, 0.000, 0.500)
P (0.000, 0.500, 0.000)


Which one sits at the bottom of the stability order? b does.


a | A crystal of MnTlP2 relaxed with PBEsol, computed with meta-GGA SCAN.

Output
Magnetization in μB per formula unit: 3.89
Crystal system: tetragonal
Mass density in Mg/m³: 7.684
SG: No. 139

a b c (Å): 4.330 4.805 4.330
angles (deg): 63.22 90.00 116.78
Fractional positions:
Mn (0.000, 0.000, 0.000)
Tl (0.500, 0.000, 0.500)
P (0.750, 0.500, 0.750)
P (0.250, 0.500, 0.250)


b | A crystal of MnTlP2 relaxed with PBEsol, computed with meta-GGA SCAN.

Output
Magnetization in μB per formula unit: 4.02
Crystal system: tetragonal
Mass density in Mg/m³: 7.483
SG: No. 119

a b c (Å): 3.749 3.749 5.723
angles (deg): 109.12 109.12 90.00
Fractional positions:
P (0.750, 0.250, 0.500)
Mn (0.250, 0.750, 0.500)
Tl (0.500, 0.500, 0.000)
P (0.000, 0.000, 0.000)


Which one sits at the bottom of the stability order? a does.


a | A crystal of Mn2SbPb relaxed with PBEsol, computed with meta-GGA SCAN.

Output
Magnetization in μB per formula unit: 7.75
Crystal system: orthorhombic
Mass density in Mg/m³: 9.429
SG: No. 65

a b c (Å): 3.165 4.985 4.985
angles (deg): 100.73 90.00 90.00
Fractional positions:
Mn (0.000, 0.500, 0.000)
Pb (0.500, 0.000, 0.000)
Sb (0.500, 0.500, 0.500)
Mn (0.000, 0.000, 0.500)


b | A crystal of Mn2SbPb relaxed with PBEsol, computed with meta-GGA SCAN.

Output
Magnetization in μB per formula unit: 7.45
Crystal system: orthorhombic
Mass density in Mg/m³: 9.430
SG: No. 65

a b c (Å): 3.243 3.243 7.445
angles (deg): 90.00 90.00 99.37
Fractional positions:
Mn (0.000, 0.000, 0.229)
Mn (0.000, 0.000, 0.771)
Sb (0.500, 0.500, 0.000)
Pb (0.500, 0.500, 0.500)


Which one sits at the bottom of the stability order? a does.